Material: Cd4AsSe
Method: DFT, PBE
State: relaxed

abc: 8.1924 8.1924 8.1924
angles: 90.00 90.00 90.00
Space group F-43m (No. 216)
Asymmetric unit:
Cd 0.1249 0.1249 0.1249 [16 per cell]
As 0.0000 0.0000 0.5000 [4 per cell]
Se 0.2500 0.2500 0.7500 [4 per cell]

Values from the calculation:
The calculation puts the volume at 22.91 Å³/atom. Its crystal system is cubic. The raw formation energy is 0.247 eV/atom. The calculation puts the calculated total energy at -1.719 eV/atom.